Entry 1:
{"formula": "ZnCuNi3", "functional": "PBE", "state": "optimized geometry", "total_magnetization_mub_per_fu": 0.00, "dos_at_fermi_per_ev_atom": 1.061, "dft_energy_ev_per_fu": -18.0, "ef_ev_per_fu": 4.74, "polymorph_energy_mev_per_atom": 706.6, "lattice": [[4.2742, 0.0000, 0.0000], [0.0000, 4.2742, 0.0000], [0.0000, 0.0000, 4.2742]], "species": ["Zn", "Ni", "Ni", "Ni", "Cu"], "frac_coords": [[0.5000, 0.5000, 0.5000], [0.0000, 0.0000, 0.5000], [0.5000, 0.0000, 0.0000], [0.0000, 0.5000, 0.0000], [0.0000, 0.0000, 0.0000]]}

***

Entry 2:
{"formula": "Zn3Cu3Ni4", "functional": "PBE", "state": "optimized geometry", "total_magnetization_mub_per_fu": 0.00, "dos_at_fermi_per_ev_atom": 0.487, "dft_energy_ev_per_fu": -39.1, "ef_ev_per_fu": 0.12, "lattice": [[2.6636, 0.0000, 0.0000], [0.0000, 6.8769, -0.0592], [0.0000, 0.0013, 6.8771]], "species": ["Zn", "Zn", "Zn", "Ni", "Ni", "Ni", "Ni", "Cu", "Cu", "Cu"], "frac_coords": [[0.5000, 0.8292, 0.1708], [0.5000, 0.6706, 0.6718], [0.5000, 0.3282, 0.3294], [0.0000, 0.3736, 0.6264], [0.0000, 0.6267, 0.3733], [0.0000, 0.8763, 0.8730], [0.0000, 0.1270, 0.1237], [0.0000, 0.4919, 0.9954], [0.0000, 0.0046, 0.5081], [0.5000, 0.1719, 0.8281]]}

***

Entry 3:
{"formula": "Zn8Cu5Ni", "functional": "PBE", "state": "optimized geometry", "total_magnetization_mub_per_fu": 0.00, "dos_at_fermi_per_ev_atom": 0.350, "dft_energy_ev_per_fu": -35.9, "ef_ev_per_fu": 0.59, "lattice": [[-3.0164, 5.2186, 1.9539], [-1.8506, -1.4093, -5.8940], [-1.3840, -4.8413, 3.8466]], "species": ["Cu", "Cu", "Cu", "Cu", "Cu", "Zn", "Zn", "Zn", "Zn", "Zn", "Zn", "Zn", "Zn", "Ni"], "frac_coords": [[0.2835, 0.0826, 0.9900], [0.9074, 0.9174, 0.2008], [0.0100, 0.2934, 0.0926], [0.7992, 0.7066, 0.7165], [0.5000, 0.0000, 0.5000], [0.3619, 0.3064, 0.4383], [0.1319, 0.6936, 0.0555], [0.5617, 0.9236, 0.8681], [0.9445, 0.0764, 0.6381], [0.5124, 0.6026, 0.2360], [0.6334, 0.3974, 0.9099], [0.7640, 0.2764, 0.3666], [0.0901, 0.7236, 0.4876], [0.2500, 0.5000, 0.7500]]}

***

Entry 4:
{"formula": "ZnCu6Ni4", "functional": "PBE", "state": "optimized geometry", "total_magnetization_mub_per_fu": 0.00, "dos_at_fermi_per_ev_atom": 0.654, "dft_energy_ev_per_fu": -46.1, "ef_ev_per_fu": 2.87, "lattice": [[5.3863, -2.1753, -4.0022], [-3.7413, 5.8039, 1.4421], [-1.4022, 2.1753, 6.5623]], "species": ["Cu", "Cu", "Cu", "Cu", "Cu", "Cu", "Ni", "Ni", "Ni", "Ni", "Zn"], "frac_coords": [[0.0000, 0.8224, 0.4506], [0.0000, 0.4506, 0.8224], [0.5000, 0.5000, 0.0000], [0.5000, 0.0000, 0.5000], [0.6282, 0.1776, 0.1776], [0.3718, 0.5494, 0.5494], [0.0000, 0.0183, 0.6367], [0.3816, 0.3633, 0.3633], [0.6184, 0.9817, 0.9817], [0.0000, 0.6367, 0.0183], [0.0000, 0.0000, 0.0000]]}

***

Entry 5:
{"formula": "Zn2Cu6Ni", "functional": "PBE", "state": "optimized geometry", "total_magnetization_mub_per_fu": 0.00, "dos_at_fermi_per_ev_atom": 0.331, "dft_energy_ev_per_fu": -32.5, "ef_ev_per_fu": 0.37, "polymorph_energy_mev_per_atom": 52.7, "lattice": [[2.5059, 0.0000, -0.3066], [0.0000, 7.0247, 0.0000], [-1.6503, -3.5123, 6.6497]], "species": ["Ni", "Cu", "Cu", "Cu", "Cu", "Cu", "Cu", "Zn", "Zn"], "frac_coords": [[0.0000, 0.0000, 0.0000], [0.5000, 0.6846, 0.0000], [0.5000, 0.3154, 0.0000], [0.3224, 0.9821, 0.3220], [0.6776, 0.6601, 0.6780], [0.6776, 0.0179, 0.6780], [0.3224, 0.3399, 0.3220], [0.1317, 0.3179, 0.6358], [0.8683, 0.6821, 0.3642]]}

***

Entry 6:
{"formula": "Zn2CuNi", "functional": "PBE", "state": "optimized geometry", "total_magnetization_mub_per_fu": 0.00, "dos_at_fermi_per_ev_atom": 0.460, "dft_energy_ev_per_fu": -12.8, "ef_ev_per_fu": -0.40, "lattice": [[4.4001, -0.0016, 0.0197], [3.5938, 2.5387, 0.0197], [0.8350, 0.2650, 4.5460]], "species": ["Cu", "Ni", "Zn", "Zn"], "frac_coords": [[0.7500, 0.7500, 0.7500], [0.2500, 0.2500, 0.2500], [0.5029, 0.5029, 0.4944], [0.9971, 0.9971, 0.0056]]}